Record 1
Here is a relaxed structure of La2NdPb2 from Alexandria via LeMat-Bulk. Energies are from PBE-GGA.

Cell: 8.5558 8.5558 4.6459 Å, 90.00 90.00 90.00°
Closest atoms and distances in Å follow each position.
Positions (direct):
La1 0.1673 0.3327 0.0000  6 Pb 3.33-3.49
La2 0.3327 0.8327 0.0000  6 Pb 3.33-3.49
La3 0.6673 0.1673 0.0000  6 Pb 3.33-3.49
La4 0.8327 0.6673 0.0000  6 Pb 3.33-3.49
Nd1 0.0000 0.0000 0.5000  4 Pb 3.33
Nd2 0.5000 0.5000 0.5000  4 Pb 3.33
Pb1 0.1352 0.6352 0.5000  1 Pb 3.27, 2 Nd 3.33, 6 La 3.33-3.49
Pb2 0.3648 0.1352 0.5000  1 Pb 3.27, 2 Nd 3.33, 6 La 3.33-3.49
Pb3 0.6352 0.8648 0.5000  1 Pb 3.27, 2 Nd 3.33, 6 La 3.33-3.49
Pb4 0.8648 0.3648 0.5000  1 Pb 3.27, 2 Nd 3.33, 6 La 3.33-3.49

Summary:
Space-group type: P4/mbm
E (eV/atom): -4.962
Energy above the lowest structure with this stoichiometry (eV/atom): 0.000
Calculated formation energy (eV/atom): -0.55
Calculated volume (Å³/atom): 34.01

---

Record 2
Here is a relaxed structure of Y2OsRhC from Alexandria via LeMat-Bulk. Energies are from PBE-GGA.

Cell: 5.2620 5.2620 4.5927 Å, 90.00 90.00 90.00°
Closest atoms and distances in Å follow each position.
Positions (direct):
Y1 0.0000 0.5000 0.0000  2 Rh 2.63
Y2 0.5000 0.0000 0.0000  2 Rh 2.63
Os1 0.0000 0.0000 0.5000  2 Rh 2.30
Rh1 0.0000 0.0000 0.0000  2 Os 2.30
C1 0.5000 0.5000 0.5000  8 Y 3.49, 4 Os 3.72

Summary:
Space-group type: P4/mmm
E (eV/atom): -6.714
Energy above the lowest structure with this stoichiometry (eV/atom): 1.834
Calculated formation energy (eV/atom): 1.43
Calculated volume (Å³/atom): 25.43

---

Record 3
Here is a relaxed structure of Na3Ga4Au2 from Alexandria via LeMat-Bulk. Energies are from PBE-GGA.

Cell: 4.4923 5.9710 8.7305 Å, 98.24 104.78 111.82°
Closest atoms and distances in Å follow each position.
Positions (direct):
Na1 0.0000 0.0000 0.0000  4 Ga 3.06-3.07, 2 Au 3.14
Na2 0.2394 0.8419 0.6403  6 Ga 3.12-3.32, 2 Au 3.17-3.26
Na3 0.7606 0.1581 0.3597  6 Ga 3.12-3.32, 2 Au 3.17-3.26
Ga1 0.3636 0.6612 0.0636  3 Au 2.70, 3 Ga 2.80-2.91
Ga2 0.4949 0.6054 0.3835  2 Ga 2.54-2.80, 2 Au 2.60
Ga3 0.5051 0.3946 0.6165  2 Ga 2.54-2.80, 2 Au 2.60
Ga4 0.6364 0.3388 0.9364  3 Au 2.70, 3 Ga 2.80-2.91
Au1 0.0514 0.3450 0.7597  5 Ga 2.60-2.70
Au2 0.9486 0.6550 0.2403  5 Ga 2.60-2.70

Summary:
Space-group type: P-1
E (eV/atom): -2.746
Energy above the lowest structure with this stoichiometry (eV/atom): 0.027
Calculated formation energy (eV/atom): -0.23
Calculated volume (Å³/atom): 22.52

---

Record 4
Here is a relaxed structure of HoMg5Cd7 from Alexandria via LeMat-Bulk. Energies are from PBE-GGA.

Cell: 7.5756 7.5756 7.5756 Å, 132.98 98.48 99.83°
Closest atoms and distances in Å follow each position.
Positions (direct):
Ho1 0.0000 0.0000 0.0000  10 Cd 3.31-3.68, 2 Mg 3.69
Mg1 0.0023 0.5004 0.0050  7 Cd 2.88-3.05, 3 Mg 2.95-3.04
Mg2 0.0023 0.9972 0.5019  7 Cd 2.88-3.05, 3 Mg 2.95-3.04
Mg3 0.4953 0.5004 0.4981  7 Cd 2.88-3.05, 3 Mg 2.95-3.04
Mg4 0.4953 0.9972 0.9950  7 Cd 2.88-3.05, 3 Mg 2.95-3.04
Mg5 0.7827 0.2827 0.5000  4 Mg 2.95, 6 Cd 2.96-3.25
Cd1 0.2085 0.4958 0.7126  5 Mg 2.88-2.96, 2 Cd 2.97-3.19
Cd2 0.2114 0.7114 0.5000  4 Mg 2.89, 4 Cd 2.97-3.22
Cd3 0.3479 0.3479 0.0000  4 Mg 3.03, 5 Cd 3.06-3.30, 1 Ho 3.39
Cd4 0.3488 0.0021 0.3468  5 Mg 3.01-3.13, 4 Cd 3.03-3.30
Cd5 0.6553 0.0021 0.6532  5 Mg 3.01-3.13, 4 Cd 3.03-3.30
Cd6 0.6610 0.6610 0.0000  6 Mg 3.05-3.25, 3 Cd 3.06-3.27, 1 Ho 3.31
Cd7 0.7832 0.4958 0.2874  5 Mg 2.88-2.96, 2 Cd 2.97-3.19

Summary:
Space-group type: Imm2
E (eV/atom): -1.587
Calculated formation energy (eV/atom): -0.13
Calculated volume (Å³/atom): 22.43

---

Record 5
Here is a relaxed structure of InFeSiRh2 from Alexandria via LeMat-Bulk. Energies are from PBE-GGA.

Cell: 4.3781 4.3781 4.9449 Å, 90.00 90.00 90.00°
Closest atoms and distances in Å follow each position.
Positions (direct):
In1 0.0000 0.0000 0.0000  2 Si 2.47
Fe1 0.5000 0.5000 0.0000  4 In 3.10, 8 Rh 3.30
Si1 0.0000 0.0000 0.5000  4 Rh 2.19
Rh1 0.0000 0.5000 0.5000  2 Si 2.19
Rh2 0.5000 0.0000 0.5000  2 Si 2.19

Summary:
Space-group type: P4/mmm
E (eV/atom): -5.675
Calculated volume (Å³/atom): 18.96

---

Record 6
Here is a relaxed structure of TbNdInN3 from Alexandria via LeMat-Bulk. Energies are from PBE-GGA.

Cell: 6.6083 3.4016 9.5269 Å, 90.00 93.61 90.00°
Closest atoms and distances in Å follow each position.
Positions (direct):
Tb1 0.1713 0.2500 0.1052  5 N 2.28-2.47
Tb2 0.8287 0.7500 0.8948  5 N 2.28-2.47
Nd1 0.3035 0.7500 0.7523  6 N 2.50-2.62
Nd2 0.6965 0.2500 0.2477  6 N 2.50-2.62
In1 0.3301 0.7500 0.4082  3 N 2.17-2.18
In2 0.6699 0.2500 0.5918  3 N 2.17-2.18
N1 0.0938 0.2500 0.8686  3 Tb 2.28-2.47, 2 Nd 2.50
N2 0.2999 0.2500 0.5468  2 In 2.17
N3 0.4019 0.7500 0.1875  1 In 2.18, 2 Tb 2.38
N4 0.5981 0.2500 0.8125  1 In 2.18, 2 Tb 2.38
N5 0.7001 0.7500 0.4532  2 In 2.17
N6 0.9062 0.7500 0.1314  3 Tb 2.28-2.47, 2 Nd 2.50

Summary:
Space-group type: P2_1/m
E (eV/atom): -6.931
Calculated volume (Å³/atom): 17.81

---

Record 7
Here is a relaxed structure of RbYSe3 from Alexandria via LeMat-Bulk. Energies are from PBE-GGA.

Cell: 5.5746 5.5746 5.5746 Å, 90.00 90.00 90.00°
Closest atoms and distances in Å follow each position.
Positions (direct):
Rb1 0.0000 0.0000 0.0000  12 Se 3.94
Y1 0.5000 0.5000 0.5000  6 Se 2.79
Se1 0.0000 0.5000 0.5000  2 Y 2.79
Se2 0.5000 0.0000 0.5000  2 Y 2.79
Se3 0.5000 0.5000 0.0000  2 Y 2.79

Summary:
Space-group type: Pm-3m
E (eV/atom): -4.638
Energy above the lowest structure with this stoichiometry (eV/atom): 0.000
Calculated volume (Å³/atom): 34.65

---

Record 8
Here is a relaxed structure of Cr2AsIr from Alexandria via LeMat-Bulk. Energies are from PBE-GGA.

Cell: 8.0519 8.0519 8.0519 Å, 20.23 20.23 20.23°
Closest atoms and distances in Å follow each position.
Positions (direct):
Cr1 0.0000 0.0000 0.0000  3 Cr 2.37, 3 As 2.55
Cr2 0.2605 0.2605 0.2605  3 Cr 2.37, 3 Ir 2.60
As1 0.7492 0.7492 0.7492  3 Cr 2.55, 3 Ir 2.73, 6 As 2.83
Ir1 0.5084 0.5084 0.5084  3 Cr 2.60, 3 As 2.73, 6 Ir 2.83

Summary:
Space-group type: R3m
E (eV/atom): -8.001
Calculated formation energy (eV/atom): 0.19
Calculated volume (Å³/atom): 13.65